VASP calculation (PBE-GGA) on an optimized crystal structure of KTc2Se.

Unit cell a=5.4930 b=10.9676 c=2.5970 alpha=90.00 beta=90.00 gamma=90.00
Space group Cmmm (No. 65)
One atom of each set of equivalent atoms:
1 K 0.0000 0.0000 0.0000 x2
2 Tc 0.2500 0.2500 0.5000 x4
3 Se 0.0000 0.5000 0.0000 x2

Results
final energy = -5.11 eV/atom
E_form (uncorrected) = 1.222 eV/atom
spin magnetization = 0.00 μB/f.u.
DOS(E_F) = 1.093 states/eV/atom

---

VASP calculation (PBE-GGA) on an optimized crystal structure of KTc2Se.

Unit cell a=2.7633 b=5.3136 c=5.6193 alpha=90.00 beta=90.00 gamma=90.00
Space group Pmmm (No. 47)
One atom of each set of equivalent atoms:
1 K 0.0000 0.0000 0.0000 x1
2 Tc 0.5000 0.5000 0.3057 x2
3 Se 0.5000 0.0000 0.5000 x1

Results
final energy = -5.52 eV/atom
E_form (uncorrected) = 0.806 eV/atom
spin magnetization = 0.00 μB/f.u.
DOS(E_F) = 0.888 states/eV/atom

---

VASP calculation (PBE-GGA) on an optimized crystal structure of KTc2Se.

Unit cell a=3.9008 b=3.9008 c=4.9257 alpha=90.00 beta=90.00 gamma=90.00
Space group P4/mmm (No. 123)
One atom of each set of equivalent atoms:
1 K 0.0000 0.0000 0.0000 x1
2 Tc 0.0000 0.5000 0.5000 x2
3 Se 0.5000 0.5000 0.0000 x1

Results
final energy = -5.20 eV/atom
E_form (uncorrected) = 1.128 eV/atom
spin magnetization = 0.00 μB/f.u.
DOS(E_F) = 1.041 states/eV/atom

---

VASP calculation (PBE-GGA) on an optimized crystal structure of KTc2Se.

Unit cell a=3.1945 b=6.0182 c=10.0296 alpha=90.00 beta=90.00 gamma=90.00
Space group Imm2 (No. 44)
One atom of each set of equivalent atoms:
1 K 0.0000 0.0000 0.0000 x2
2 Tc 0.0000 0.0000 0.4940 x2
3 Tc 0.0000 0.5000 0.1640 x2
4 Se 0.0000 0.5000 0.7899 x2

Results
final energy = -5.57 eV/atom
E_form (uncorrected) = 0.754 eV/atom
spin magnetization = 0.98 μB/f.u.
DOS(E_F) = 0.525 states/eV/atom

---

VASP calculation (PBE-GGA) on an optimized crystal structure of KTc2Se.

Unit cell a=5.6755 b=11.1864 c=2.6809 alpha=90.00 beta=116.99 gamma=90.00
Space group C2/m (No. 12)
One atom of each set of equivalent atoms:
1 K 0.0000 0.0000 0.0000 x2
2 Tc 0.2500 0.2500 0.0000 x4
3 Se 0.0000 0.5000 0.0000 x2

Results
final energy = -5.35 eV/atom
E_form (uncorrected) = 0.982 eV/atom
spin magnetization = 0.00 μB/f.u.
DOS(E_F) = 1.079 states/eV/atom

---

VASP calculation (PBE-GGA) on an optimized crystal structure of KTc2Se.

Unit cell a=6.5831 b=6.5831 c=6.5831 alpha=90.00 beta=90.00 gamma=90.00
Space group F-43m (No. 216)
One atom of each set of equivalent atoms:
1 K 0.0000 0.0000 0.0000 x4
2 Tc 0.0000 0.0000 0.5000 x4
3 Tc 0.2500 0.2500 0.7500 x4
4 Se 0.2500 0.2500 0.2500 x4

Results
final energy = -5.34 eV/atom
E_form (uncorrected) = 0.990 eV/atom
spin magnetization = 0.73 μB/f.u.
DOS(E_F) = 1.042 states/eV/atom

---

VASP calculation (PBE-GGA) on an optimized crystal structure of KTcSe.

Unit cell a=6.9177 b=6.9177 c=6.9177 alpha=90.00 beta=90.00 gamma=90.00
Space group F-43m (No. 216)
One atom of each set of equivalent atoms:
1 K 0.0000 0.0000 0.0000 x4
2 Tc 0.0000 0.0000 0.5000 x4
3 Se 0.2500 0.2500 0.7500 x4

Results
final energy = -4.25 eV/atom
E_form (uncorrected) = 0.733 eV/atom
spin magnetization = 4.05 μB/f.u.
polymorph energy (0 for the lowest one) = 660.8 meV/atom
DOS(E_F) = 1.151 states/eV/atom

---

VASP calculation (PBE-GGA) on an optimized crystal structure of KTc3Se.

Unit cell a=4.6069 b=4.6069 c=4.6069 alpha=90.00 beta=90.00 gamma=90.00
Space group Pm-3m (No. 221)
One atom of each set of equivalent atoms:
1 K 0.0000 0.0000 0.0000 x1
2 Tc 0.0000 0.0000 0.5000 x3
3 Se 0.5000 0.5000 0.5000 x1

Results
final energy = -3.97 eV/atom
E_form (uncorrected) = 3.167 eV/atom
spin magnetization = 3.00 μB/f.u.
polymorph energy (0 for the lowest one) = 1881.9 meV/atom
DOS(E_F) = 1.506 states/eV/atom

---

VASP calculation (PBE-GGA) on an optimized crystal structure of KTc4Se.

Unit cell a=7.5536 b=7.5536 c=7.5536 alpha=90.00 beta=90.00 gamma=90.00
Space group F-43m (No. 216)
One atom of each set of equivalent atoms:
1 K 0.0000 0.0000 0.0000 x4
2 Tc 0.1234 0.1234 0.3766 x16
3 Se 0.2500 0.2500 0.7500 x4

Results
final energy = -6.68 eV/atom
E_form (uncorrected) = 0.996 eV/atom
spin magnetization = 0.00 μB/f.u.
DOS(E_F) = 1.287 states/eV/atom

---

VASP calculation (PBE-GGA) on an optimized crystal structure of KTc2Se.

Unit cell a=7.1747 b=4.1416 c=7.0186 alpha=90.00 beta=109.83 gamma=90.00
Space group Cm (No. 8)
One atom of each set of equivalent atoms:
1 K 0.0000 0.0000 0.0000 x2
2 Tc 0.3029 0.5000 0.4057 x2
3 Tc 0.4929 0.0000 0.4760 x2
4 Se 0.2150 0.0000 0.6428 x2

Results
final energy = -6.13 eV/atom
E_form (uncorrected) = 0.197 eV/atom
spin magnetization = 0.81 μB/f.u.
DOS(E_F) = 0.390 states/eV/atom

---

VASP calculation (PBE-GGA) on an optimized crystal structure of KTc2Se.

Unit cell a=3.0326 b=3.0326 c=8.7135 alpha=90.00 beta=90.00 gamma=90.00
Space group P4mm (No. 99)
One atom of each set of equivalent atoms:
1 K 0.0000 0.0000 0.0000 x1
2 Tc 0.0000 0.0000 0.4986 x1
3 Tc 0.5000 0.5000 0.6695 x1
4 Se 0.5000 0.5000 0.3031 x1

Results
final energy = -6.01 eV/atom
E_form (uncorrected) = 0.320 eV/atom
spin magnetization = 0.00 μB/f.u.
DOS(E_F) = 1.125 states/eV/atom

---

VASP calculation (PBE-GGA) on an optimized crystal structure of KTcSe.

Unit cell a=7.1796 b=7.1796 c=7.1796 alpha=90.00 beta=90.00 gamma=90.00
Space group F-43m (No. 216)
One atom of each set of equivalent atoms:
1 K 0.0000 0.0000 0.0000 x4
2 Tc 0.2500 0.2500 0.2500 x4
3 Se 0.2500 0.2500 0.7500 x4

Results
final energy = -3.61 eV/atom
E_form (uncorrected) = 1.376 eV/atom
spin magnetization = 4.48 μB/f.u.
polymorph energy (0 for the lowest one) = 1304.3 meV/atom
DOS(E_F) = 1.901 states/eV/atom